No. 1
Material: LaPm6Pr
Method: DFT, GGA-PBE
State: relaxed

Cell: 5.191 5.191 10.387 Å, 90.00 90.00 90.00°
Atoms (fractional coordinates):
La: 0.000 0.000 0.000
Pm: 0.500 0.500 0.000
Pm: 0.500 0.500 0.500
Pm: 0.500 0.000 0.251
Pm: 0.500 0.000 0.749
Pm: 0.000 0.500 0.251
Pm: 0.000 0.500 0.749
Pr: 0.000 0.000 0.500

Computed properties:
**E_form**: 16 meV per atom


No. 2
Material: Th4GeSe4
Method: DFT, GGA-PBE
State: relaxed

Cell: 7.139 7.139 7.664 Å, 117.76 117.76 90.00°
Atoms (fractional coordinates):
Th: 0.639 0.639 0.712
Th: 0.361 0.927 0.288
Th: 0.073 0.073 0.712
Th: 0.927 0.361 0.288
Ge: 0.000 0.000 0.000
Se: 0.500 0.000 0.000
Se: 0.000 0.500 0.000
Se: 0.323 0.323 0.646
Se: 0.677 0.677 0.354

Computed properties:
**Uncorrected formation energy**: -0.92 eV/atom
**Relative energy among the computed polymorphs**: 567.1 meV per atom


No. 3
Material: KBiRu2
Method: DFT, GGA-PBE
State: relaxed

Cell: 7.943 7.943 6.401 Å, 51.65 51.65 90.00°
Each line ends with the local moment (μB).
Atoms (fractional coordinates):
Ru: 0.682 0.125 0.250  0.50
Ru: 0.068 0.625 0.250  0.51
Ru: 0.375 0.318 0.750  0.47
Ru: 0.875 0.932 0.750  0.48
K: 0.500 0.500 0.000  0.00
K: 0.250 0.750 0.500  0.00
Bi: 0.000 0.000 0.000  -0.03
Bi: 0.750 0.250 0.500  -0.03

Computed properties:
**E_form**: 1258 meV per atom


No. 4
Material: NaTbY2
Method: DFT, GGA-PBE
State: relaxed

Cell: 3.517 3.517 12.891 Å, 82.16 82.16 60.00°
Atoms (fractional coordinates):
Y: 0.092 0.092 0.724
Y: 0.908 0.908 0.276
Na: 0.000 0.000 0.000
Tb: 0.500 0.500 0.500

Computed properties:
**E_form**: 169 meV per atom
**Relative energy among the computed polymorphs**: 39.2 meV per atom


No. 5
Material: RbGaOsPb2
Method: DFT, GGA-PBE
State: relaxed

Cell: 5.444 4.967 5.444 Å, 90.00 90.00 90.00°
Atoms (fractional coordinates):
Pb: 0.000 0.000 0.500
Pb: 0.500 0.000 0.000
Os: 0.000 0.000 0.000
Ga: 0.000 0.500 0.000
Rb: 0.500 0.500 0.500

Computed properties:
**E_form**: 287 meV per atom


No. 6
Material: TlSiHgF6
Method: DFT, GGA-PBE
State: relaxed

Cell: 6.199 6.198 5.117 Å, 90.21 89.79 58.92°
Each line ends with the local moment (μB).
Atoms (fractional coordinates):
Tl: 0.000 0.000 0.999  0.01
Si: 0.334 0.334 0.500  0.00
Hg: 0.664 0.664 0.498  0.47
F: 0.109 0.331 0.305  0.04
F: 0.333 0.108 0.696  0.04
F: 0.560 0.334 0.696  0.04
F: 0.100 0.568 0.692  0.04
F: 0.331 0.561 0.305  0.04
F: 0.569 0.101 0.309  0.04

Computed properties:
**Uncorrected formation energy**: -2.35 eV/atom


No. 7
Material: LaZrCu
Method: DFT, GGA-PBE
State: relaxed

Cell: 5.470 4.624 6.312 Å, 111.49 89.99 90.00°
Atoms (fractional coordinates):
Zr: 0.643 0.841 0.704
Zr: 0.143 0.848 0.718
Cu: 0.887 0.269 0.560
Cu: 0.388 0.420 0.863
La: 0.877 0.549 0.120
La: 0.377 0.140 0.302

Computed properties:
**E_form**: 17 meV per atom
**Relative energy among the computed polymorphs**: 66.1 meV per atom


No. 8
Material: LiPaIrO4
Method: DFT, GGA-PBE
State: relaxed

Cell: 5.458 6.801 6.771 Å, 119.86 90.00 113.66°
Each line ends with the local moment (μB).
Atoms (fractional coordinates):
Li: 0.831 0.661 0.081  0.00
Li: 0.169 0.339 0.919  0.00
Pa: 0.500 0.000 0.500  0.00
Pa: 0.500 0.000 0.000  0.00
Ir: 0.500 0.500 0.500  0.19
Ir: 0.000 0.500 0.500  0.19
O: 0.722 0.445 0.695  0.01
O: 0.222 0.914 0.207  0.00
O: 0.693 0.914 0.207  0.00
O: 0.722 0.445 0.250  0.01
O: 0.278 0.555 0.750  0.01
O: 0.778 0.086 0.793  0.00
O: 0.307 0.086 0.793  0.00
O: 0.278 0.555 0.305  0.01

Computed properties:
**Uncorrected formation energy**: -2.13 eV/atom


No. 9
Material: HoTc2PbO8
Method: DFT, GGA-PBE
State: relaxed

Cell: 5.961 5.961 7.093 Å, 90.00 90.00 120.00°
Each line ends with the local moment (μB).
Atoms (fractional coordinates):
Ho: 0.000 0.000 0.500  0.08
Tc: 0.667 0.333 0.216  0.97
Tc: 0.333 0.667 0.784  0.97
Pb: 0.000 0.000 0.000  0.06
O: 0.333 0.667 0.032  0.13
O: 0.328 0.163 0.292  0.05
O: 0.837 0.164 0.292  0.05
O: 0.667 0.333 0.968  0.13
O: 0.163 0.836 0.708  0.05
O: 0.672 0.837 0.708  0.05
O: 0.164 0.328 0.708  0.05
O: 0.836 0.672 0.292  0.05

Computed properties:
**Uncorrected formation energy**: -1.71 eV/atom


No. 10
Material: Np5AsS4
Method: DFT, GGA-PBE
State: relaxed

Cell: 3.937 5.568 10.445 Å, 105.46 100.86 90.00°
Each line ends with the local moment (μB).
Atoms (fractional coordinates):
Np: 0.604 0.104 0.209  3.67
Np: 0.799 0.299 0.599  -3.75
Np: 0.201 0.701 0.401  -3.75
Np: 0.000 0.500 0.000  3.69
Np: 0.396 0.896 0.791  3.67
As: 0.000 0.000 0.000  -0.11
S: 0.400 0.400 0.801  -0.04
S: 0.797 0.797 0.594  0.04
S: 0.203 0.203 0.406  0.04
S: 0.600 0.600 0.199  -0.04

Computed properties:
**Uncorrected formation energy**: -1.21 eV/atom


No. 11
Material: Ce2PmAs
Method: DFT, GGA-PBE
State: relaxed

Cell: 3.824 3.824 10.333 Å, 79.34 79.34 60.00°
Each line ends with the local moment (μB).
Atoms (fractional coordinates):
As: 0.500 0.500 0.500  -0.03
Ce: 0.106 0.106 0.682  0.82
Ce: 0.894 0.894 0.318  0.82
Pm: 0.000 0.000 0.000  0.21

Computed properties:
**E_form**: -319 meV per atom
**Relative energy among the computed polymorphs**: 219.2 meV per atom


No. 12
Material: Ac2GeCl
Method: DFT, GGA-PBE
State: relaxed

Cell: 4.473 4.473 8.267 Å, 74.30 74.30 60.00°
Atoms (fractional coordinates):
Ac: 0.073 0.073 0.781
Ac: 0.262 0.262 0.214
Ge: 0.668 0.668 0.996
Cl: 0.497 0.497 0.509

Computed properties:
**Uncorrected formation energy**: -1.17 eV/atom
**Relative energy among the computed polymorphs**: 64.8 meV per atom


No. 13
Material: La4YTe
Method: DFT, GGA-PBE
State: relaxed

Cell: 6.624 6.624 6.624 Å, 60.00 60.00 60.00°
Each line ends with the local moment (μB).
Atoms (fractional coordinates):
La: 0.883 0.372 0.372  0.14
La: 0.372 0.372 0.883  0.14
La: 0.372 0.883 0.372  0.14
La: 0.372 0.372 0.372  0.14
Y: 0.000 0.000 0.000  0.21
Te: 0.750 0.750 0.750  0.00

Computed properties:
**Uncorrected formation energy**: 0.05 eV/atom


No. 14
Material: Pr2ErTe
Method: DFT, GGA-PBE
State: relaxed

Cell: 4.005 4.005 10.282 Å, 78.77 78.77 60.00°
Each line ends with the local moment (μB).
Atoms (fractional coordinates):
Pr: 0.240 0.240 0.281  0.04
Pr: 0.760 0.760 0.719  0.04
Te: 0.500 0.500 0.500  0.00
Er: 0.000 0.000 0.000  0.26

Computed properties:
**Uncorrected formation energy**: -0.51 eV/atom
**Relative energy among the computed polymorphs**: 58.9 meV per atom


No. 15
Material: Dy2ZnSe
Method: DFT, GGA-PBE
State: relaxed

Cell: 3.862 3.862 8.035 Å, 76.10 76.10 60.00°
Atoms (fractional coordinates):
Dy: 0.084 0.084 0.749
Dy: 0.250 0.250 0.251
Zn: 0.667 0.667 0.998
Se: 0.499 0.499 0.503

Computed properties:
**Uncorrected formation energy**: -0.92 eV/atom
**Relative energy among the computed polymorphs**: 137.3 meV per atom


No. 16
Material: NiSnP
Method: DFT, GGA-PBE
State: relaxed

Cell: 4.390 3.781 3.781 Å, 120.00 90.00 90.00°
Atoms (fractional coordinates):
Ni: 0.105 0.000 0.000
Sn: 0.704 0.667 0.333
P: 0.191 0.333 0.667

Computed properties:
**E_form**: -140 meV per atom


No. 17
Material: Cu2GeSe2S
Method: DFT, GGA-PBE
State: relaxed

Cell: 6.420 6.735 6.756 Å, 119.89 90.00 90.00°
Atoms (fractional coordinates):
Cu: 0.181 0.829 0.310
Cu: 0.181 0.519 0.690
Cu: 0.681 0.171 0.690
Cu: 0.681 0.481 0.310
Ge: 0.689 0.834 0.000
Ge: 0.189 0.166 0.000
Se: 0.805 0.836 0.338
Se: 0.805 0.499 0.662
Se: 0.305 0.501 0.338
Se: 0.305 0.164 0.662
S: 0.312 0.835 0.000
S: 0.812 0.165 0.000

Computed properties:
**Uncorrected formation energy**: -0.25 eV/atom


No. 18
Material: PmNd3Ru2
Method: DFT, GGA-PBE
State: relaxed

Cell: 4.334 8.573 10.634 Å, 69.63 78.24 75.36°
Atoms (fractional coordinates):
Pm: 0.427 0.479 0.667
Pm: 0.573 0.521 0.333
Nd: 0.054 0.111 0.781
Nd: 0.946 0.889 0.219
Nd: 0.669 0.693 0.970
Nd: 0.331 0.307 0.030
Nd: 0.788 0.831 0.594
Nd: 0.212 0.169 0.406
Ru: 0.863 0.428 0.845
Ru: 0.137 0.572 0.155
Ru: 0.618 0.180 0.585
Ru: 0.382 0.820 0.415

Computed properties:
**E_form**: -132 meV per atom


No. 19
Material: Ca2AcH8Rh
Method: DFT, GGA-PBE
State: relaxed

Cell: 4.859 4.859 7.102 Å, 90.00 90.00 120.00°
Atoms (fractional coordinates):
Ca: 0.667 0.333 0.135
Ca: 0.333 0.667 0.865
Ac: 0.000 0.000 0.500
H: 0.839 0.678 0.844
H: 0.322 0.161 0.844
H: 0.839 0.161 0.844
H: 0.161 0.322 0.156
H: 0.678 0.839 0.156
H: 0.161 0.839 0.156
H: 0.667 0.333 0.449
H: 0.333 0.667 0.551
Rh: 0.000 0.000 0.000

Computed properties:
**Energy**: -3.9965 eV per atom


No. 20
Material: HfGaTe2
Method: DFT, GGA-PBE
State: relaxed

Cell: 9.170 9.170 9.170 Å, 24.60 24.60 24.60°
Atoms (fractional coordinates):
Te: 0.897 0.897 0.897
Te: 0.103 0.103 0.103
Hf: 0.000 0.000 0.000
Ga: 0.500 0.500 0.500

Computed properties:
**Uncorrected formation energy**: 0.20 eV/atom